Entry 1:
A geometry-optimized AcMnNiP2 structure. Source: Alexandria via LeMat-Bulk, functional PBE-GGA.

Geometry as POSCAR:
```
AcMnNiP2
1.0
-0.459 3.760 0.316
-3.087 -0.557 2.147
5.175 -1.598 3.662
Ac Mn Ni P
1 1 1 2
Direct
0.000 0.000 0.000
0.750 0.250 0.500
0.250 0.750 0.500
0.649 0.649 0.298
0.351 0.351 0.702
```

Summary:
- DOS(E_F) (states/eV/cell) = 3.57
- energy relative to the elements (eV/f.u.) = -4.49
- SG = I-4m2, No. 119
- energy (eV/atom) = -6.873


Entry 2:
A geometry-optimized Ac2MnNi3Sb4 structure. Source: Alexandria via LeMat-Bulk, functional PBE-GGA.

Geometry as POSCAR:
```
Ac2MnNi3Sb4
1.0
-0.670 -2.244 3.970
-1.540 -3.665 -2.332
9.680 -3.754 -0.490
Ac Mn Ni Sb
2 1 3 4
Direct
0.500 0.000 0.251
0.000 0.500 0.749
0.500 0.500 0.500
0.000 0.000 0.500
0.500 0.000 0.883
0.000 0.500 0.117
0.500 0.500 0.000
0.000 0.000 0.000
0.500 0.000 0.633
0.000 0.500 0.367
```

Summary:
- energy relative to the elements, uncorrected (eV per formula unit) = -5.92
- DOS(E_F) (states/eV/cell) = 4.58
- SG = P-4m2, No. 115
- energy (eV/atom) = -5.714


Entry 3:
A geometry-optimized Ac2MnSi4Ni3 structure. Source: Alexandria via LeMat-Bulk, functional PBE-GGA.

Geometry as POSCAR:
```
Ac2MnSi4Ni3
1.0
-3.919 0.076 -1.368
-0.912 -3.237 2.434
-2.513 6.392 7.558
Ac Mn Si Ni
2 1 4 3
Direct
0.500 0.000 0.244
0.000 0.500 0.756
0.500 0.500 0.500
0.500 0.500 0.000
0.000 0.000 0.000
0.500 0.000 0.624
0.000 0.500 0.376
0.000 0.000 0.500
0.500 0.000 0.885
0.000 0.500 0.115
```

Summary:
- energy relative to the elements, uncorrected (eV per formula unit) = -6.04
- DOS(E_F) (states/eV/cell) = 6.51
- SG = P-4m2, No. 115
- energy (eV/atom) = -6.246


Entry 4:
A geometry-optimized Ac2MnSi3Ni12 structure. Source: Alexandria via LeMat-Bulk, functional PBE-GGA.

Geometry as POSCAR:
```
Ac2MnSi3Ni12
1.0
-3.093 3.199 5.504
-4.911 -4.123 2.994
2.234 -2.667 6.163
Ac Mn Si Ni
2 1 3 12
Direct
0.616 0.616 0.616
0.384 0.384 0.384
0.000 0.000 0.000
0.500 0.000 0.000
0.000 0.500 0.000
0.000 0.000 0.500
0.347 0.347 0.909
0.869 0.869 0.361
0.361 0.869 0.869
0.909 0.347 0.347
0.869 0.361 0.869
0.347 0.909 0.347
0.653 0.653 0.091
0.131 0.131 0.639
0.639 0.131 0.131
0.091 0.653 0.653
0.131 0.639 0.131
0.653 0.091 0.653
```

Summary:
- energy relative to the elements, uncorrected (eV per formula unit) = 2.01
- DOS(E_F) (states/eV/cell) = 9.04
- SG = R-3m, No. 166
- energy (eV/atom) = -5.612


Entry 5:
A geometry-optimized AcNpMn structure. Source: Alexandria via LeMat-Bulk, functional PBE-GGA.

Geometry as POSCAR:
```
AcNpMn
1.0
-4.391 -1.443 3.796
-1.779 -4.933 -3.933
4.016 -6.679 2.106
Np Mn Ac
4 4 4
Direct
0.442 0.013 0.699
0.942 0.987 0.801
0.558 0.987 0.301
0.058 0.013 0.199
0.795 0.891 0.514
0.705 0.891 0.014
0.205 0.109 0.486
0.295 0.109 0.986
0.265 0.572 0.108
0.235 0.572 0.608
0.735 0.428 0.892
0.765 0.428 0.392
```

Summary:
- DOS(E_F) (states/eV/cell) = 20.92
- energy relative to the elements (eV/f.u.) = 0.64
- SG = P2_1/c, No. 14
- energy (eV/atom) = -8.525


Please write out number 3 again, unchanged.
A geometry-optimized Ac2MnSi4Ni3 structure. Source: Alexandria via LeMat-Bulk, functional PBE-GGA.

Geometry as POSCAR:
```
Ac2MnSi4Ni3
1.0
-3.919 0.076 -1.368
-0.912 -3.237 2.434
-2.513 6.392 7.558
Ac Mn Si Ni
2 1 4 3
Direct
0.500 0.000 0.244
0.000 0.500 0.756
0.500 0.500 0.500
0.500 0.500 0.000
0.000 0.000 0.000
0.500 0.000 0.624
0.000 0.500 0.376
0.000 0.000 0.500
0.500 0.000 0.885
0.000 0.500 0.115
```

Summary:
- energy relative to the elements, uncorrected (eV per formula unit) = -6.04
- DOS(E_F) (states/eV/cell) = 6.51
- SG = P-4m2, No. 115
- energy (eV/atom) = -6.246


What did the first record say?
A geometry-optimized AcMnNiP2 structure. Source: Alexandria via LeMat-Bulk, functional PBE-GGA.

Geometry as POSCAR:
```
AcMnNiP2
1.0
-0.459 3.760 0.316
-3.087 -0.557 2.147
5.175 -1.598 3.662
Ac Mn Ni P
1 1 1 2
Direct
0.000 0.000 0.000
0.750 0.250 0.500
0.250 0.750 0.500
0.649 0.649 0.298
0.351 0.351 0.702
```

Summary:
- DOS(E_F) (states/eV/cell) = 3.57
- energy relative to the elements (eV/f.u.) = -4.49
- SG = I-4m2, No. 119
- energy (eV/atom) = -6.873